Entry P
A plane-wave DFT calculation with PBE-GGA was carried out for crystalline Zn2Cu2Ni7 at its relaxed geometry.

Unit cell a=6.0670 b=6.9381 c=6.3237 alpha=90.00 beta=101.89 gamma=90.00
With the nearest neighbours (Å) after each atom.
Space group C2/m (No. 12)
Symmetry-distinct sites (fractional):
Zn  0.0000  0.1852  0.0000 (multiplicity 4)  8 Ni 2.42-2.69, 2 Cu 2.54, 1 Zn 2.57
Cu  0.0997  0.0000  0.3525 (multiplicity 4)  8 Ni 2.41-2.48, 1 Cu 2.42, 2 Zn 2.54
Ni  0.0000  0.5000  0.5000 (multiplicity 2)  6 Ni 2.40-2.50, 2 Cu 2.42
Ni  0.1307  0.5000  0.8855 (multiplicity 4)  2 Ni 2.36-2.40, 1 Cu 2.44, 4 Zn 2.48-2.55
Ni  0.2430  0.1844  0.6892 (multiplicity 8)  3 Cu 2.41-2.48, 2 Zn 2.42-2.69, 4 Ni 2.50-2.67

total magnetization = 0.13 μB per atom
calculated volume = 11.84 A^3/atom

Entry Q
A plane-wave DFT calculation with PBE-GGA was carried out for crystalline Zn2Cu2Ni7 at its relaxed geometry.

Unit cell a=8.0984 b=8.1661 c=4.4231 alpha=90.00 beta=115.23 gamma=90.00
With the nearest neighbours (Å) after each atom.
Space group C2/m (No. 12)
Symmetry-distinct sites (fractional):
Zn  0.0000  0.2122  0.0000 (multiplicity 4)  8 Ni 2.43-2.70, 2 Cu 2.61
Cu  0.2483  0.5000  0.9524 (multiplicity 4)  8 Ni 2.39-2.52, 2 Zn 2.61
Ni  0.0000  0.0000  0.5000 (multiplicity 2)  4 Ni 2.35, 2 Cu 2.41
Ni  0.0962  0.5000  0.3282 (multiplicity 4)  3 Cu 2.45-2.52, 6 Ni 2.48-2.75, 2 Zn 2.70
Ni  0.1681  0.2443  0.6619 (multiplicity 8)  4 Ni 2.33-2.48, 2 Cu 2.39-2.52, 2 Zn 2.43-2.48

total magnetization = 0.15 μB per atom
calculated volume = 12.03 A^3/atom

Relative energies, in meV/atom, with the most stable structure set to zero: entry P 0; entry Q 15.

Entry P
A plane-wave DFT calculation with PBE-GGA was carried out for crystalline Zn2Cu3Ni2 at its relaxed geometry.

Unit cell a=3.9992 b=17.5114 c=2.5141 alpha=90.00 beta=90.00 gamma=90.00
With the nearest neighbours (Å) after each atom.
Space group Cmmm (No. 65)
Symmetry-distinct sites (fractional):
Zn  0.0000  0.1354  0.0000 (multiplicity 4)  3 Cu 2.37-2.40, 2 Zn 2.51, 4 Ni 2.61
Cu  0.0000  0.0000  0.0000 (multiplicity 2)  2 Zn 2.37, 2 Cu 2.51
Cu  0.0000  0.2892  0.0000 (multiplicity 4)  2 Zn 2.40, 4 Cu 2.42-2.51
Ni  0.0000  0.4277  0.5000 (multiplicity 4)  3 Ni 2.51-2.53, 4 Zn 2.61, 6 Cu 2.68-2.73

total magnetization = 0.00 μB per atom
calculated volume = 12.58 A^3/atom

Entry Q
A plane-wave DFT calculation with PBE-GGA was carried out for crystalline Zn2Cu3Ni2 at its relaxed geometry.

Unit cell a=4.4509 b=4.4530 c=4.4789 alpha=99.33 beta=99.80 gamma=99.62
With the nearest neighbours (Å) after each atom.
Space group P-1 (No. 2)
Symmetry-distinct sites (fractional):
Zn  0.1552  0.0710  0.2878 (multiplicity 2)  6 Cu 2.52-2.61, 4 Ni 2.55-2.61, 2 Zn 2.63
Cu  0.0000  0.5000  0.0000 (multiplicity 1)  4 Cu 2.56-2.61, 4 Ni 2.56-2.57, 4 Zn 2.58-2.59
Cu  0.2859  0.6426  0.5780 (multiplicity 2)  4 Zn 2.52-2.61, 4 Ni 2.54-2.62, 4 Cu 2.56-2.61
Ni  0.4269  0.2176  0.8597 (multiplicity 2)  6 Cu 2.54-2.62, 2 Ni 2.55-2.59, 4 Zn 2.55-2.61

total magnetization = 0.00 μB per atom
calculated volume = 12.08 A^3/atom

Relative energies, in meV/atom, with the most stable structure set to zero: entry P 146; entry Q 0.

Entry P
A plane-wave DFT calculation with PBE-GGA was carried out for crystalline ZrCu2Ni2 at its relaxed geometry.

Unit cell a=6.9915 b=6.9915 c=2.7589 alpha=90.00 beta=90.00 gamma=90.00
With the nearest neighbours (Å) after each atom.
Space group P4/mbm (No. 127)
Symmetry-distinct sites (fractional):
Zr  0.0000  0.0000  0.0000 (multiplicity 2)  2 Zr 2.76, 4 Cu 2.77, 8 Ni 2.94
Cu  0.1236  0.3764  0.0000 (multiplicity 4)  1 Cu 2.44, 6 Ni 2.46-2.50
Ni  0.1705  0.6705  0.5000 (multiplicity 4)  6 Cu 2.46-2.50

total magnetization = 0.00 μB per atom
calculated volume = 13.49 A^3/atom

Entry Q
A plane-wave DFT calculation with PBE-GGA was carried out for crystalline ZrCu2Ni2 at its relaxed geometry.

Unit cell a=4.4718 b=8.3043 c=16.0751 alpha=90.00 beta=90.00 gamma=90.00
With the nearest neighbours (Å) after each atom.
Space group Fddd (No. 70, origin choice 2)
Symmetry-distinct sites (fractional):
Zr  0.1250  0.1250  0.1250 (multiplicity 8)  6 Ni 2.65-2.73
Cu  0.1250  0.1250  0.5016 (multiplicity 16)  2 Cu 2.36, 4 Ni 2.41-2.44
Ni  0.1250  0.2965  0.6250 (multiplicity 16)  4 Cu 2.41-2.44, 2 Ni 2.59, 2 Zr 2.65

total magnetization = 0.00 μB per atom
calculated volume = 14.92 A^3/atom

Relative energies, in meV/atom, with the most stable structure set to zero: entry P 0; entry Q 46.

Entry P
A plane-wave DFT calculation with PBE-GGA was carried out for crystalline ZrCu2Ni2 at its relaxed geometry.

Unit cell a=3.4971 b=3.4971 c=11.5045 alpha=90.00 beta=90.00 gamma=90.00
With the nearest neighbours (Å) after each atom.
Space group I4/mmm (No. 139)
Symmetry-distinct sites (fractional):
Zr  0.0000  0.0000  0.0000 (multiplicity 2)  8 Ni 2.74
Cu  0.0000  0.5000  0.2500 (multiplicity 4)  4 Ni 2.44, 4 Cu 2.47
Ni  0.0000  0.0000  0.3984 (multiplicity 4)  1 Ni 2.34, 4 Cu 2.44

total magnetization = 0.00 μB per atom
calculated volume = 14.07 A^3/atom

Entry Q
A plane-wave DFT calculation with PBE-GGA was carried out for crystalline ZrCu2Ni2 at its relaxed geometry.

Unit cell a=6.9466 b=6.9466 c=2.7947 alpha=90.00 beta=90.00 gamma=90.00
With the nearest neighbours (Å) after each atom.
Space group P4/mbm (No. 127)
Symmetry-distinct sites (fractional):
Zr  0.0000  0.0000  0.0000 (multiplicity 2)  4 Ni 2.73, 2 Zr 2.79, 8 Cu 2.95
Cu  0.1633  0.3367  0.5000 (multiplicity 4)  6 Ni 2.47-2.48
Ni  0.1297  0.6297  0.0000 (multiplicity 4)  6 Cu 2.47-2.48, 1 Ni 2.55, 2 Zr 2.73

total magnetization = 0.00 μB per atom
calculated volume = 13.49 A^3/atom

Relative energies, in meV/atom, with the most stable structure set to zero: entry P 0; entry Q 54.